# 1
This record from Alexandria via LeMat-Bulk describes a geometry-optimized Ba3P4O13 structure. The functional is PBE-GGA.

- Uncorrected formation energy: -256.5 kJ per mole of atoms
- Space-group type: P1
- DOS(E_F): 0.000 states/eV per atom
- Raw total energy: -7.251 eV per atom
- Total moment: 0.0 Bohr magnetons per cell

Cell lengths 5.8051, 7.3341, 8.1900 Å; angles 83.00, 75.92, 70.51 degrees
Positions (direct):
Ba  0.0000  0.0000  0.0000
Ba  0.2892  0.1701  0.4535
Ba  0.6473  0.5890  0.2258
P  0.3111  0.3935  0.0394
P  0.6392  0.7928  0.7622
P  0.6435  0.3750  0.7005
P  0.9712  0.7764  0.4225
O  0.0364  0.5587  0.4134
O  0.1015  0.3022  0.1029
O  0.1891  0.8588  0.3622
O  0.2286  0.6125  0.0467
O  0.3958  0.9166  0.7174
O  0.4078  0.3437  0.8369
O  0.5364  0.2903  0.1221
O  0.5764  0.3946  0.5311
O  0.6718  0.5678  0.7553
O  0.6754  0.8212  0.9330
O  0.7512  0.8898  0.3372
O  0.8734  0.8235  0.6255
O  0.8815  0.2175  0.7218

# 2
This record from Alexandria via LeMat-Bulk describes a geometry-optimized Pr6Ir2PtCl3 structure. The functional is PBE-GGA.

- Uncorrected formation energy: -120.0 kJ per mole of atoms
- Space-group type: C2/m
- DOS(E_F): 0.459 states/eV per atom
- Raw total energy: -6.075 eV per atom
- Total moment: 0.0 Bohr magnetons per cell

Cell lengths 7.2597, 7.2597, 7.9441 Å; angles 98.74, 98.74, 120.02 degrees
Positions (direct):
Pr  0.0909  0.4318  0.7951
Pr  0.2271  0.2271  0.2047
Pr  0.4318  0.0909  0.7951
Pr  0.5682  0.9091  0.2049
Pr  0.7729  0.7729  0.7953
Pr  0.9091  0.5682  0.2049
Ir  0.1665  0.8335  0.0000
Ir  0.8335  0.1665  0.0000
Pt  0.5000  0.5000  0.0000
Cl  0.0000  0.0000  0.5000
Cl  0.3295  0.6705  0.5000
Cl  0.6705  0.3295  0.5000

# 3
This record from Alexandria via LeMat-Bulk describes a geometry-optimized LiGe2BCl structure. The functional is PBE-GGA.

- Uncorrected formation energy: 103.4 kJ per mole of atoms
- Space-group type: P4/mmm
- DOS(E_F): 0.684 states/eV per atom
- Raw total energy: -2.863 eV per atom
- Total moment: 0.0 Bohr magnetons per cell

Cell lengths 4.7446, 4.7446, 4.3558 Å; angles 90.00, 90.00, 90.00 degrees
Positions (direct):
Li  0.0000  0.0000  0.0000
Ge  0.0000  0.5000  0.0000
Ge  0.5000  0.0000  0.0000
B  0.5000  0.5000  0.5000
Cl  0.0000  0.0000  0.5000

# 4
This record from Alexandria via LeMat-Bulk describes a geometry-optimized NbZnSi3 structure. The functional is PBE-GGA.

- Energy above the most stable polymorph in this dataset: 0.0000 eV per atom
- Uncorrected formation energy: 68.7 kJ per mole of atoms
- Space-group type: Pm-3m
- DOS(E_F): 0.847 states/eV per atom
- Raw total energy: -4.811 eV per atom
- Total moment: 0.0 Bohr magnetons per cell

Cell lengths 4.9229, 4.9229, 4.9229 Å; angles 90.00, 90.00, 90.00 degrees
Positions (direct):
Nb  0.0000  0.0000  0.0000
Zn  0.5000  0.5000  0.5000
Si  0.0000  0.0000  0.5000
Si  0.0000  0.5000  0.0000
Si  0.5000  0.0000  0.0000

# 5
This record from Alexandria via LeMat-Bulk describes a geometry-optimized Ca2TlFe structure. The functional is PBE-GGA.

- Space-group type: Amm2
- DOS(E_F): 1.239 states/eV per atom
- Energy of formation from the pure elements: 0.14 eV per atom
- Raw total energy: -3.571 eV per atom
- Total moment: 2.2 Bohr magnetons per cell

Cell lengths 4.6269, 6.1654, 6.1654 Å; angles 39.46, 90.00, 90.00 degrees
Positions (direct):
Ca  0.0000  0.0000  0.0000
Ca  0.5000  0.2972  0.2972
Tl  0.0000  0.7109  0.7109
Fe  0.5000  0.5890  0.5890

# 6
This record from Alexandria via LeMat-Bulk describes a geometry-optimized Th2Ni5Pt5 structure. The functional is PBE-GGA.

- Space-group type: Pmmm
- DOS(E_F): 0.995 states/eV per atom
- Energy of formation from the pure elements: -0.67 eV per atom
- Raw total energy: -6.829 eV per atom
- Total moment: 1.9 Bohr magnetons per cell

Cell lengths 4.2671, 5.1178, 9.1681 Å; angles 90.00, 90.00, 90.00 degrees
Positions (direct):
Th  0.0000  0.0000  0.0000
Th  0.0000  0.5000  0.5000
Ni  0.5000  0.0000  0.5000
Ni  0.5000  0.2490  0.2578
Ni  0.5000  0.2490  0.7422
Ni  0.5000  0.7510  0.2578
Ni  0.5000  0.7510  0.7422
Pt  0.0000  0.0000  0.3341
Pt  0.0000  0.0000  0.6659
Pt  0.0000  0.5000  0.1790
Pt  0.0000  0.5000  0.8210
Pt  0.5000  0.5000  0.0000

# 7
This record from Alexandria via LeMat-Bulk describes a geometry-optimized Rb3Pm2PrSe6 structure. The functional is PBE-GGA.

- Uncorrected formation energy: -167.6 kJ per mole of atoms
- Space-group type: C2/m
- DOS(E_F): 0.000 states/eV per atom
- Raw total energy: -4.911 eV per atom
- Total moment: 0.0 Bohr magnetons per cell

Cell lengths 7.5662, 7.5662, 8.4134 Å; angles 98.63, 98.63, 120.00 degrees
Positions (direct):
Rb  0.0000  0.0000  0.0000
Rb  0.3338  0.6662  0.0000
Rb  0.6662  0.3338  0.0000
Pm  0.1667  0.8333  0.5000
Pm  0.8333  0.1667  0.5000
Pr  0.5000  0.5000  0.5000
Se  0.0964  0.4331  0.2993
Se  0.2301  0.2301  0.7006
Se  0.4331  0.0964  0.2993
Se  0.5669  0.9036  0.7007
Se  0.7699  0.7699  0.2994
Se  0.9036  0.5669  0.7007

# 8
This record from Alexandria via LeMat-Bulk describes a geometry-optimized NbTlInW2 structure. The functional is PBE-GGA.

- Space-group type: P4/mmm
- DOS(E_F): 1.631 states/eV per atom
- Energy of formation from the pure elements: 2.65 eV per atom
- Raw total energy: -5.564 eV per atom
- Total moment: 1.7 Bohr magnetons per cell

Cell lengths 4.9952, 4.9952, 5.0680 Å; angles 90.00, 90.00, 90.00 degrees
Positions (direct):
Nb  0.0000  0.0000  0.0000
Tl  0.5000  0.5000  0.0000
In  0.5000  0.5000  0.5000
W  0.0000  0.5000  0.5000
W  0.5000  0.0000  0.5000

# 9
This record from Alexandria via LeMat-Bulk describes a geometry-optimized Li2PrCu6 structure. The functional is PBE-GGA.

- Space-group type: P6/mmm
- DOS(E_F): 0.305 states/eV per atom
- Energy of formation from the pure elements: 0.12 eV per atom
- Raw total energy: -3.566 eV per atom
- Total moment: 0.0 Bohr magnetons per cell

Cell lengths 4.8986, 4.8986, 7.9145 Å; angles 90.00, 90.00, 120.00 degrees
Positions (direct):
Li  0.3333  0.6667  0.0000
Li  0.6667  0.3333  0.0000
Pr  0.0000  0.0000  0.5000
Cu  0.0000  0.5000  0.2812
Cu  0.0000  0.5000  0.7188
Cu  0.5000  0.0000  0.2812
Cu  0.5000  0.0000  0.7188
Cu  0.5000  0.5000  0.2812
Cu  0.5000  0.5000  0.7188

# 10
This record from Alexandria via LeMat-Bulk describes a geometry-optimized KCr3Tc structure. The functional is PBE-GGA.

- Energy above the most stable polymorph in this dataset: 0.0000 eV per atom
- Space-group type: Pm-3m
- DOS(E_F): 1.065 states/eV per atom
- Energy of formation from the pure elements: 1.22 eV per atom
- Raw total energy: -6.850 eV per atom
- Total moment: 9.4 Bohr magnetons per cell

Cell lengths 4.8615, 4.8615, 4.8615 Å; angles 90.00, 90.00, 90.00 degrees
Positions (direct):
K  0.0000  0.0000  0.0000
Cr  0.0000  0.5000  0.5000
Cr  0.5000  0.0000  0.5000
Cr  0.5000  0.5000  0.0000
Tc  0.5000  0.5000  0.5000

# 11
This record from Alexandria via LeMat-Bulk describes a geometry-optimized BeSiGeOs2 structure. The functional is PBE-GGA.

- Uncorrected formation energy: 138.4 kJ per mole of atoms
- Space-group type: P4/mmm
- DOS(E_F): 0.441 states/eV per atom
- Raw total energy: -5.811 eV per atom
- Total moment: 0.0 Bohr magnetons per cell

Cell lengths 4.4390, 4.4390, 4.5364 Å; angles 90.00, 90.00, 90.00 degrees
Positions (direct):
Be  0.0000  0.0000  0.0000
Si  0.5000  0.5000  0.5000
Ge  0.5000  0.5000  0.0000
Os  0.0000  0.5000  0.5000
Os  0.5000  0.0000  0.5000

# 12
This record from Alexandria via LeMat-Bulk describes a geometry-optimized Ac3In2GePd6 structure. The functional is PBE-GGA.

- Space-group type: P-3m1
- DOS(E_F): 0.447 states/eV per atom
- Energy of formation from the pure elements: -0.70 eV per atom
- Raw total energy: -5.163 eV per atom
- Total moment: 0.0 Bohr magnetons per cell

Cell lengths 6.0138, 6.0138, 8.9369 Å; angles 90.00, 90.00, 120.00 degrees
Positions (direct):
Ac  0.0000  0.0000  0.0000
Ac  0.3333  0.6667  0.6265
Ac  0.6667  0.3333  0.3735
In  0.3333  0.6667  0.0339
In  0.6667  0.3333  0.9661
Ge  0.0000  0.0000  0.5000
Pd  0.1736  0.3472  0.2936
Pd  0.1736  0.8264  0.2936
Pd  0.3472  0.1736  0.7064
Pd  0.6528  0.8264  0.2936
Pd  0.8264  0.1736  0.7064
Pd  0.8264  0.6528  0.7064